DFT (GGA-PBE) results for a relaxed structure of Na3BiCl.

Geometry as POSCAR:
```
Na3BiCl
1.0
5.2932 0.0000 0.0000
0.0000 5.2932 0.0000
0.0000 0.0000 5.2932
Na Cl Bi
3 1 1
Cartesian
2.6466 0.0000 0.0000 Na
0.0000 2.6466 0.0000 Na
0.0000 0.0000 2.6466 Na
0.0000 0.0000 0.0000 Cl
2.6466 2.6466 2.6466 Bi
```

Values from the calculation:
energy above the most stable polymorph in this dataset	0.0	meV/atom
formation energy from raw total energies	-0.747	eV per atom

***

DFT (GGA-PBE) results for a relaxed structure of HoTe3PbAu.

Geometry as POSCAR:
```
HoTe3PbAu
1.0
4.3185 0.0000 0.0000
0.0000 8.5359 -0.2313
0.0000 -2.4706 10.1129
Te Pb Ho Au
6 2 2 2
Cartesian
3.2389 1.0798 5.2519 Te
3.2389 3.2678 1.2784 Te
3.2389 7.6006 1.2362 Te
1.0796 -1.5353 8.6455 Te
1.0796 4.9855 4.6297 Te
1.0796 2.7975 8.6032 Te
1.0796 1.2444 2.7604 Pb
3.2389 4.8209 7.1212 Pb
3.2389 0.6151 8.2488 Ho
1.0796 5.4502 1.6328 Ho
3.2389 6.7823 3.8832 Au
1.0796 -0.7170 5.9984 Au
```

Values from the calculation:
formation energy from raw total energies	-0.701	eV per atom